(1)
This record from Alexandria via LeMat-Bulk describes crystalline TaGaTeI2 at its relaxed geometry. The functional is PBE-GGA.

Cell lengths 5.392, 5.392, 5.487 Å; angles 90.00, 90.00, 90.00 degrees
Last column: magnetic moment on the atom in μB.
Element x y z (fractional)
I1 0.000 0.500 0.000  -0.05
I2 0.500 0.000 0.000  -0.05
Te1 0.000 0.000 0.500  -0.16
Ga1 0.000 0.000 0.000  -0.02
Ta1 0.500 0.500 0.500  2.11

Size of the total moment (μB per cell): 2.86
DFT total energy (eV/atom): -3.18
E above lowest polymorph (eV/f.u.): 4.18

(2)
This record from Alexandria via LeMat-Bulk describes crystalline SmY2Tl at its relaxed geometry. The functional is PBE-GGA.

Cell lengths 4.840, 4.694, 11.307 Å; angles 102.04, 90.00, 90.00 degrees
Element x y z (fractional)
Sm1 0.250 0.305 0.612
Sm2 0.750 0.695 0.388
Y1 0.750 0.442 0.884
Y2 0.250 0.558 0.116
Y3 0.250 0.933 0.867
Y4 0.750 0.067 0.133
Tl1 0.750 0.836 0.673
Tl2 0.250 0.164 0.327

Energy relative to the elements (eV per formula unit): -0.64
Size of the total moment (μB per cell): 0.00
DFT total energy (eV/atom): -5.16
E above lowest polymorph (eV/f.u.): 0.15

(3)
This record from Alexandria via LeMat-Bulk describes crystalline PmHoPb at its relaxed geometry. The functional is PBE-GGA.

Cell lengths 4.154, 4.154, 5.900 Å; angles 110.61, 110.61, 90.00 degrees
Last column: magnetic moment on the atom in μB.
Element x y z (fractional)
Pb1 0.620 0.620 0.240  0.00
Ho1 0.274 0.274 0.547  0.29
Pm1 0.956 0.956 0.913  0.21

Energy relative to the elements (eV per formula unit): -0.84
Size of the total moment (μB per cell): 0.81
DFT total energy (eV/atom): -4.63
E above lowest polymorph (eV/f.u.): 0.52

(4)
This record from Alexandria via LeMat-Bulk describes crystalline Sc6CO2 at its relaxed geometry. The functional is PBE-GGA.

Cell lengths 5.627, 5.627, 6.298 Å; angles 63.47, 63.47, 60.00 degrees
Element x y z (fractional)
Sc1 0.770 0.073 0.749
Sc2 0.073 0.408 0.749
Sc3 0.408 0.770 0.749
Sc4 0.230 0.927 0.251
Sc5 0.927 0.592 0.251
Sc6 0.592 0.230 0.251
C1 0.000 0.000 0.000
O1 0.175 0.175 0.476
O2 0.825 0.825 0.524

Size of the total moment (μB per cell): 0.00
DFT total energy (eV/atom): -7.76

(5)
This record from Alexandria via LeMat-Bulk describes crystalline NdScZn2 at its relaxed geometry. The functional is PBE-GGA.

Cell lengths 3.476, 3.476, 7.207 Å; angles 90.00, 90.00, 90.00 degrees
Element x y z (fractional)
Sc1 0.500 0.500 0.000
Zn1 0.000 0.000 0.789
Zn2 0.000 0.000 0.211
Nd1 0.500 0.500 0.500

Energy relative to the elements (eV per formula unit): -1.28
Size of the total moment (μB per cell): 0.00
DFT total energy (eV/atom): -3.73
E above lowest polymorph (eV/f.u.): 0.00

(6)
This record from Alexandria via LeMat-Bulk describes crystalline Sc5AlPt6 at its relaxed geometry. The functional is PBE-GGA.

Cell lengths 4.648, 6.393, 8.049 Å; angles 66.60, 73.51, 90.00 degrees
Element x y z (fractional)
Sc1 0.669 0.167 0.665
Sc2 0.331 0.332 0.336
Sc3 0.000 0.500 0.000
Sc4 0.669 0.668 0.664
Sc5 0.331 0.833 0.335
Al1 0.000 0.000 0.000
Pt1 0.839 0.597 0.317
Pt2 0.839 0.086 0.317
Pt3 0.500 0.756 0.000
Pt4 0.500 0.244 0.000
Pt5 0.161 0.914 0.683
Pt6 0.161 0.403 0.683

Energy relative to the elements (eV per formula unit): -14.36
Size of the total moment (μB per cell): 0.00
DFT total energy (eV/atom): -7.17

(7)
This record from Alexandria via LeMat-Bulk describes crystalline CaTbCuPb at its relaxed geometry. The functional is PBE-GGA.

Cell lengths 5.260, 5.260, 5.260 Å; angles 60.00, 60.00, 60.00 degrees
Element x y z (fractional)
Pb1 0.000 0.000 0.000
Ca1 0.250 0.250 0.250
Tb1 0.750 0.750 0.750
Cu1 0.500 0.500 0.500

Energy relative to the elements (eV per formula unit): -1.30
Size of the total moment (μB per cell): 0.00
DFT total energy (eV/atom): -3.93

(8)
This record from Alexandria via LeMat-Bulk describes crystalline InSb2S4Br at its relaxed geometry. The functional is PBE-GGA.

Cell lengths 10.567, 10.567, 12.164 Å; angles 59.71, 59.71, 21.32 degrees
Element x y z (fractional)
In1 0.664 0.664 0.568
In2 0.336 0.336 0.432
Sb1 0.293 0.293 0.094
Sb2 0.952 0.952 0.783
Sb3 0.048 0.048 0.217
Sb4 0.707 0.707 0.906
S1 0.680 0.680 0.131
S2 0.105 0.105 0.978
S3 0.212 0.212 0.650
S4 0.534 0.534 0.788
S5 0.788 0.788 0.350
S6 0.466 0.466 0.212
S7 0.320 0.320 0.869
S8 0.895 0.895 0.022
Br1 0.897 0.897 0.525
Br2 0.103 0.103 0.475

Size of the total moment (μB per cell): 0.00
DFT total energy (eV/atom): -4.07

(9)
This record from Alexandria via LeMat-Bulk describes crystalline TiInN2 at its relaxed geometry. The functional is PBE-GGA.

Cell lengths 4.960, 4.960, 5.877 Å; angles 65.04, 65.04, 90.00 degrees
Element x y z (fractional)
N1 0.572 0.125 0.250
N2 0.178 0.625 0.250
N3 0.375 0.428 0.750
N4 0.875 0.822 0.750
Ti1 0.500 0.500 0.000
Ti2 0.250 0.750 0.500
In1 0.000 0.000 0.000
In2 0.750 0.250 0.500

Size of the total moment (μB per cell): 0.00
DFT total energy (eV/atom): -7.35

(10)
This record from Alexandria via LeMat-Bulk describes crystalline NaCe5S6 at its relaxed geometry. The functional is PBE-GGA.

Cell lengths 6.990, 6.988, 6.993 Å; angles 60.03, 80.40, 70.50 degrees
Last column: magnetic moment on the atom in μB.
Element x y z (fractional)
Na1 0.000 0.000 0.000  0.00
S1 0.750 0.083 0.333  -0.03
S2 0.250 0.584 0.333  -0.03
S3 0.248 0.250 0.000  -0.03
S4 0.752 0.750 0.000  -0.03
S5 0.750 0.416 0.667  -0.03
S6 0.250 0.917 0.667  -0.03
Ce1 0.500 0.165 0.669  0.81
Ce2 0.000 0.334 0.333  0.78
Ce3 0.500 0.500 0.000  0.82
Ce4 0.000 0.666 0.667  0.78
Ce5 0.500 0.835 0.331  0.81

Size of the total moment (μB per cell): 4.80
DFT total energy (eV/atom): -6.57

(11)
This record from Alexandria via LeMat-Bulk describes crystalline BaRe2Ru at its relaxed geometry. The functional is PBE-GGA.

Cell lengths 4.719, 4.719, 4.719 Å; angles 119.95, 119.95, 90.09 degrees
Last column: magnetic moment on the atom in μB.
Element x y z (fractional)
Ba1 0.750 0.250 0.500  0.00
Re1 0.000 0.000 0.000  0.00
Re2 0.250 0.750 0.500  0.01
Ru1 0.500 0.500 0.000  0.06

Energy relative to the elements (eV per formula unit): 5.41
Size of the total moment (μB per cell): 0.07
DFT total energy (eV/atom): -7.67
E above lowest polymorph (eV/f.u.): 3.10

(12)
This record from Alexandria via LeMat-Bulk describes crystalline SrTl2TeO8 at its relaxed geometry. The functional is PBE-GGA.

Cell lengths 5.218, 4.564, 7.381 Å; angles 89.98, 90.00, 86.94 degrees
Element x y z (fractional)
Sr1 0.000 0.000 0.500
Tl1 0.500 0.500 0.779
Tl2 0.500 0.500 0.221
Te1 0.000 0.000 0.000
O1 0.147 0.771 0.207
O2 0.697 0.770 0.000
O3 0.853 0.229 0.207
O4 0.853 0.229 0.793
O5 0.303 0.230 0.000
O6 0.147 0.771 0.793
O7 0.542 0.842 0.500
O8 0.458 0.158 0.500

Size of the total moment (μB per cell): 0.00
DFT total energy (eV/atom): -5.08

(13)
This record from Alexandria via LeMat-Bulk describes crystalline DyCuSi at its relaxed geometry. The functional is PBE-GGA.

Cell lengths 4.349, 4.349, 4.349 Å; angles 60.00, 60.00, 60.00 degrees
Element x y z (fractional)
Si1 0.000 0.000 0.000
Cu1 0.250 0.250 0.250
Dy1 0.500 0.500 0.500

Size of the total moment (μB per cell): 0.00
DFT total energy (eV/atom): -5.22

(14)
This record from Alexandria via LeMat-Bulk describes crystalline MnTeP2 at its relaxed geometry. The functional is PBE-GGA.

Cell lengths 2.945, 4.965, 5.479 Å; angles 60.46, 90.00, 90.00 degrees
Last column: magnetic moment on the atom in μB.
Element x y z (fractional)
Mn1 0.500 0.750 0.750  1.39
P1 0.000 0.993 0.901  -0.05
P2 0.000 0.507 0.599  -0.05
Te1 0.500 0.250 0.250  -0.01

Size of the total moment (μB per cell): 1.23
DFT total energy (eV/atom): -5.73

(15)
This record from Alexandria via LeMat-Bulk describes crystalline Nd3Ga2I2 at its relaxed geometry. The functional is PBE-GGA.

Cell lengths 4.196, 5.981, 9.729 Å; angles 105.35, 89.98, 110.55 degrees
Element x y z (fractional)
Nd1 0.000 0.000 0.000
Nd2 0.795 0.591 0.272
Nd3 0.205 0.409 0.728
Ga1 0.685 0.370 0.944
Ga2 0.315 0.630 0.056
I1 0.900 0.798 0.642
I2 0.100 0.202 0.358

Size of the total moment (μB per cell): 0.00
DFT total energy (eV/atom): -4.18